(1)
TlZn2Cr, PBEsol geometry, DFT meta-GGA SCAN; crystal system = tetragonal; spin magnetization = 0.836 μB/atom; N(E_F) = 0.480 states/eV/atom; DFT total energy = -29.23 eV/atom
1.0
3.968 0.000 0.000
0.000 3.968 0.000
0.000 0.000 4.065
Tl Zn Cr
1 2 1
direct
0.000 0.000 0.000
0.000 0.500 0.500
0.500 0.000 0.500
0.500 0.500 0.000



(2)
KNiH9C2O10, PBEsol geometry, DFT meta-GGA SCAN; crystal system = triclinic; spin magnetization = 0.086 μB/atom; N(E_F) = 0.000 states/eV/atom; DFT total energy = -7.31 eV/atom
1.0
5.263 0.000 0.000
-1.880 6.260 0.000
-0.078 -3.270 6.102
K Ni H C O
1 1 9 2 10
direct
0.000 0.000 0.000
0.500 0.500 0.500
0.000 0.500 0.000
0.005 0.341 0.575
0.209 0.202 0.593
0.360 0.740 0.876
0.422 0.914 0.755
0.578 0.086 0.245
0.640 0.260 0.124
0.791 0.798 0.407
0.995 0.659 0.425
0.368 0.698 0.211
0.632 0.302 0.789
0.142 0.267 0.501
0.201 0.672 0.051
0.277 0.571 0.308
0.393 0.153 0.742
0.471 0.785 0.774
0.529 0.215 0.226
0.607 0.847 0.258
0.723 0.429 0.692
0.799 0.328 0.949
0.858 0.733 0.499



(3)
KOs2Br, PBEsol geometry, DFT meta-GGA SCAN; crystal system = tetragonal; spin magnetization = 0.000 μB/atom; ΔE_f (raw) = 0.55 eV/atom; N(E_F) = 0.552 states/eV/atom
1.0
3.093 0.000 0.000
0.000 3.093 0.000
0.000 0.000 8.409
K Os Br
1 2 1
direct
0.000 0.000 0.000
0.000 0.000 0.470
0.500 0.500 0.321
0.500 0.500 0.724



(4)
Cs2MnH12Se2O14, PBEsol geometry, DFT meta-GGA SCAN; crystal system = monoclinic; spin magnetization = 0.161 μB/atom; N(E_F) = 0.000 states/eV/atom; DFT total energy = -9.70 eV/atom
1.0
6.485 0.000 0.000
0.000 12.960 0.000
-2.511 0.000 9.110
Cs Mn H Se O
4 2 24 4 28
direct
0.157 0.150 0.365
0.157 0.350 0.865
0.843 0.650 0.135
0.843 0.850 0.635
0.500 0.000 0.000
0.500 0.500 0.500
0.161 0.563 0.602
0.161 0.937 0.102
0.180 0.097 0.789
0.180 0.403 0.289
0.180 0.641 0.477
0.180 0.859 0.977
0.407 0.131 0.760
0.407 0.369 0.260
0.417 0.597 0.221
0.417 0.903 0.721
0.482 0.686 0.343
0.482 0.814 0.843
0.518 0.186 0.157
0.518 0.314 0.657
0.583 0.097 0.279
0.583 0.403 0.779
0.593 0.631 0.740
0.593 0.869 0.240
0.820 0.141 0.023
0.820 0.359 0.523
0.820 0.597 0.711
0.820 0.903 0.211
0.839 0.063 0.898
0.839 0.437 0.398
0.236 0.643 0.899
0.236 0.857 0.399
0.764 0.143 0.601
0.764 0.357 0.101
0.089 0.573 0.759
0.089 0.744 0.922
0.089 0.756 0.422
0.089 0.927 0.259
0.207 0.567 0.510
0.207 0.933 0.010
0.292 0.569 0.047
0.292 0.931 0.547
0.334 0.113 0.837
0.334 0.387 0.337
0.460 0.684 0.861
0.460 0.816 0.361
0.495 0.112 0.177
0.495 0.388 0.677
0.505 0.612 0.323
0.505 0.888 0.823
0.540 0.184 0.639
0.540 0.316 0.139
0.666 0.613 0.663
0.666 0.887 0.163
0.708 0.069 0.453
0.708 0.431 0.953
0.793 0.067 0.990
0.793 0.433 0.490
0.911 0.073 0.741
0.911 0.244 0.578
0.911 0.256 0.078
0.911 0.427 0.241



Among the records above, which one has the lowest spin magnetization? KOs2Br



Which formula does entry 2 have? KNiH9C2O10